No. 1
Compound: Li3Np2PaSe6
Source: the Alexandria database
Functional: PBE-GGA
Structure: relaxed

abc: 7.0307 7.0307 6.9691
angles: 99.67 99.67 119.99
Element x y z (fractional)
Li 0.0000 0.0000 0.0000
Li 0.3335 0.6665 0.0000
Li 0.6665 0.3335 0.0000
Np 0.1669 0.8331 0.5000
Np 0.8331 0.1669 0.5000
Pa 0.5000 0.5000 0.5000
Se 0.0842 0.4132 0.2398
Se 0.2568 0.2568 0.7588
Se 0.4132 0.0842 0.2398
Se 0.5868 0.9158 0.7602
Se 0.7432 0.7432 0.2412
Se 0.9158 0.5868 0.7602

**Formation energy (no corrections)**: -1432 kJ/mol of formula units
**Space-group type**: No. 12
**Total magnetization**: 10.007 μB/f.u.

***

No. 2
Compound: LiNp2PaSe4
Source: the Alexandria database
Functional: PBE-GGA
Structure: relaxed

abc: 6.9521 4.0331 7.1397
angles: 90.00 109.28 90.00
Element x y z (fractional)
Li 0.0000 0.0000 0.0000
Np 0.5000 0.0000 0.5000
Np 0.5000 0.5000 0.0000
Pa 0.0000 0.5000 0.5000
Se 0.2368 0.5000 0.2403
Se 0.2439 0.0000 0.7584
Se 0.7561 0.0000 0.2416
Se 0.7632 0.5000 0.7597

**Formation energy (no corrections)**: -886 kJ/mol of formula units
**Space-group type**: No. 10
**Total magnetization**: 0.717 μB/f.u.

***

No. 3
Compound: LiNp2PaSe6
Source: the Alexandria database
Functional: PBE-GGA
Structure: relaxed

abc: 6.6676 6.6676 6.7154
angles: 90.00 90.00 90.00
Element x y z (fractional)
Li 0.0000 0.0000 0.0000
Np 0.0000 0.5000 0.4656
Np 0.5000 0.0000 0.4656
Pa 0.5000 0.5000 0.0546
Se 0.0000 0.0000 0.6355
Se 0.2383 0.2383 0.2106
Se 0.2383 0.7617 0.2106
Se 0.5000 0.5000 0.6371
Se 0.7617 0.2383 0.2106
Se 0.7617 0.7617 0.2106

**Formation energy (no corrections)**: -835 kJ/mol of formula units
**Space-group type**: No. 99
**Total magnetization**: 8.018 μB/f.u.

***

No. 4
Compound: Li4Np3PaSe8
Source: the Alexandria database
Functional: PBE-GGA
Structure: relaxed

abc: 8.0489 8.0489 8.0489
angles: 60.69 60.69 60.69
Element x y z (fractional)
Li 0.0000 0.0000 0.0000
Li 0.0000 0.5000 0.5000
Li 0.5000 0.0000 0.5000
Li 0.5000 0.5000 0.0000
Np 0.0000 0.0000 0.5000
Np 0.0000 0.5000 0.0000
Np 0.5000 0.0000 0.0000
Pa 0.5000 0.5000 0.5000
Se 0.2487 0.2487 0.7429
Se 0.2487 0.7429 0.2487
Se 0.2521 0.2521 0.2521
Se 0.2571 0.7513 0.7513
Se 0.7429 0.2487 0.2487
Se 0.7479 0.7479 0.7479
Se 0.7513 0.2571 0.7513
Se 0.7513 0.7513 0.2571

**Formation energy (no corrections)**: -1898 kJ/mol of formula units
**Space-group type**: No. 166
**Total magnetization**: 14.004 μB/f.u.

***

No. 5
Compound: Li4Np3PaTe8
Source: the Alexandria database
Functional: PBE-GGA
Structure: relaxed

abc: 8.6986 8.6986 8.6986
angles: 59.76 59.76 59.76
Element x y z (fractional)
Li 0.0000 0.0000 0.0000
Li 0.0000 0.5000 0.5000
Li 0.5000 0.0000 0.5000
Li 0.5000 0.5000 0.0000
Np 0.0000 0.0000 0.5000
Np 0.0000 0.5000 0.0000
Np 0.5000 0.0000 0.0000
Pa 0.5000 0.5000 0.5000
Te 0.2482 0.2482 0.7428
Te 0.2482 0.7428 0.2482
Te 0.2531 0.2531 0.2531
Te 0.2572 0.7519 0.7519
Te 0.7428 0.2481 0.2482
Te 0.7469 0.7469 0.7469
Te 0.7518 0.2572 0.7518
Te 0.7518 0.7519 0.2572

**Formation energy (no corrections)**: -1256 kJ/mol of formula units
**Space-group type**: No. 166
**Total magnetization**: 14.005 μB/f.u.

***

No. 6
Compound: Li4NpPa3Te8
Source: the Alexandria database
Functional: PBE-GGA
Structure: relaxed

abc: 8.7969 8.7969 8.7969
angles: 57.75 57.75 57.75
Element x y z (fractional)
Li 0.0000 0.0000 0.0000
Li 0.0000 0.5000 0.5000
Li 0.5000 0.0000 0.5000
Li 0.5000 0.5000 0.0000
Np 0.5000 0.5000 0.5000
Pa 0.0000 0.0000 0.5000
Pa 0.0000 0.5000 0.0000
Pa 0.5000 0.0000 0.0000
Te 0.2445 0.2445 0.7476
Te 0.2445 0.7476 0.2445
Te 0.2524 0.7555 0.7555
Te 0.2552 0.2552 0.2552
Te 0.7448 0.7448 0.7448
Te 0.7476 0.2445 0.2445
Te 0.7555 0.2524 0.7555
Te 0.7555 0.7555 0.2524

**Formation energy (no corrections)**: -1292 kJ/mol of formula units
**Space-group type**: No. 166
**Total magnetization**: 9.822 μB/f.u.

***

No. 7
Compound: Li3Np2PaTe6
Source: the Alexandria database
Functional: PBE-GGA
Structure: relaxed

abc: 7.4846 7.4846 7.5646
angles: 99.48 99.48 120.00
Element x y z (fractional)
Li 0.0000 0.0000 0.0000
Li 0.3328 0.6672 0.0000
Li 0.6672 0.3328 0.0000
Np 0.1669 0.8331 0.5000
Np 0.8331 0.1669 0.5000
Pa 0.5000 0.5000 0.5000
Te 0.0834 0.4128 0.2385
Te 0.2571 0.2571 0.7606
Te 0.4128 0.0834 0.2385
Te 0.5872 0.9166 0.7615
Te 0.7429 0.7429 0.2394
Te 0.9166 0.5872 0.7615

**Formation energy (no corrections)**: -949 kJ/mol of formula units
**Space-group type**: No. 12
**Total magnetization**: 10.007 μB/f.u.

***

No. 8
Compound: LiNpPb2
Source: the Alexandria database
Functional: PBE-GGA
Structure: relaxed

abc: 11.3972 11.3972 11.3972
angles: 16.77 16.77 16.77
Element x y z (fractional)
Li 0.0000 0.0000 0.0000
Np 0.5000 0.5000 0.5000
Pb 0.0821 0.0821 0.0821
Pb 0.9179 0.9179 0.9179

**Space-group type**: No. 166
**ΔH_f (0 K)**: 181.4 meV per atom
**Total magnetization**: 4.136 μB/f.u.